The following is a PBE-GGA calculation of a geometry-optimized Rb2Se3 structure, from Alexandria.

Computed properties:
* energy above the lowest structure with this stoichiometry: 0.089 eV/atom
* calculated density: 3928 kg/m3
* magnetic moment: 0.000 μB per formula unit
* space group: Cmc2_1

Unit cell a=6.117 b=6.117 c=9.493 alpha=90.00 beta=90.00 gamma=76.15
Sites, in units of the cell vectors:
1 Se 0.253 0.747 0.251
2 Se 0.400 0.600 0.696
3 Se 0.600 0.400 0.196
4 Se 0.747 0.253 0.751
5 Se 0.902 0.098 0.302
6 Se 0.098 0.902 0.802
7 Rb 0.123 0.379 0.999
8 Rb 0.379 0.123 0.499
9 Rb 0.877 0.621 0.499
10 Rb 0.621 0.877 0.999

---

The following is a PBE-GGA calculation of a geometry-optimized SrPd2Pb structure, from Alexandria.

Computed properties:
* calculated density: 6937 kg/m3
* formation energy from the elements: -20.37 kJ per mole of atoms
* magnetic moment: 0.000 μB per formula unit
* space group: I-42d

Unit cell a=5.127 b=5.127 c=9.932 alpha=75.04 beta=75.04 gamma=90.00
Sites, in units of the cell vectors:
1 Pd 0.875 0.064 0.750
2 Pd 0.814 0.125 0.250
3 Sr 0.250 0.750 0.500
4 Sr 0.500 0.500 0.000
5 Pd 0.375 0.186 0.750
6 Pb 0.750 0.250 0.500
7 Pb 0.000 0.000 0.000
8 Pd 0.936 0.625 0.250

---

The following is a PBE-GGA calculation of a geometry-optimized Sr2TlH5Rh structure, from Alexandria.

Computed properties:
* DFT total energy: -3.67 eV/atom
* calculated density: 5960 kg/m3
* magnetic moment: 0.000 μB per formula unit
* space group: P4/mbm

Unit cell a=5.003 b=7.369 c=7.369 alpha=90.00 beta=90.00 gamma=90.00
Sites, in units of the cell vectors:
1 Sr 0.500 0.813 0.687
2 Tl 0.000 0.000 0.000
3 H 0.753 0.390 0.110
4 H 0.247 0.610 0.890
5 Rh 0.000 0.000 0.500
6 Rh 0.000 0.500 0.000
7 Tl 0.000 0.500 0.500
8 Sr 0.500 0.187 0.313
9 H 0.753 0.610 0.890
10 H 0.500 0.500 0.500
11 H 0.247 0.890 0.390
12 H 0.247 0.110 0.610
13 H 0.247 0.390 0.110
14 H 0.753 0.110 0.610
15 H 0.500 0.000 0.000
16 Sr 0.500 0.313 0.813
17 Sr 0.500 0.687 0.187
18 H 0.753 0.890 0.390

---

The following is a PBE-GGA calculation of a geometry-optimized AgPdBr2F structure, from Alexandria.

Computed properties:
* DFT total energy: -2.28 eV/atom
* calculated density: 4637 kg/m3
* magnetic moment: 1.204 μB per formula unit
* space group: P4/mmm

Unit cell a=5.053 b=5.513 c=5.053 alpha=90.00 beta=90.00 gamma=90.00
Sites, in units of the cell vectors:
1 Ag 0.000 0.000 0.000
2 F 0.500 0.500 0.500
3 Br 0.000 0.000 0.500
4 Pd 0.000 0.500 0.000
5 Br 0.500 0.000 0.000

---

The following is a PBE-GGA calculation of a geometry-optimized SbSeBr2Cl structure, from Alexandria.

Computed properties:
* energy above the lowest structure with this stoichiometry: 0.502 eV/atom
* calculated density: 4644 kg/m3
* magnetic moment: 0.000 μB per formula unit
* space group: P4/mmm

Unit cell a=5.071 b=5.071 c=5.506 alpha=90.00 beta=90.00 gamma=90.00
Sites, in units of the cell vectors:
1 Br 0.000 0.500 0.000
2 Br 0.500 0.000 0.000
3 Sb 0.500 0.500 0.500
4 Cl 0.000 0.000 0.000
5 Se 0.000 0.000 0.500

---

The following is a PBE-GGA calculation of a geometry-optimized LaSc2W structure, from Alexandria.

Computed properties:
* calculated density: 7254 kg/m3
* formation energy from the elements: 40.50 kJ per mole of atoms
* magnetic moment: 0.000 μB per formula unit
* space group: Cmm2

Unit cell a=3.088 b=3.088 c=10.525 alpha=90.00 beta=90.00 gamma=109.69
Sites, in units of the cell vectors:
1 La 0.500 0.500 0.714
2 Sc 0.500 0.500 0.278
3 W 0.000 0.000 0.485
4 Sc 0.000 0.000 0.023